# 1
The following is a PBE calculation of ErNp2O7 after structural relaxation, from Alexandria.

Summary:
- Volume: 127 Å³/f.u.
- Theoretical density: 9.85 g/cm3
- Total magnetization: 3.00 μB/f.u.

Cell lengths 3.803, 3.803, 10.368 Å; angles 79.43, 79.43, 60.00 degrees
Element x y z (fractional)
Er  0.500  0.500  0.500
Np  0.068  0.068  0.796
Np  0.932  0.932  0.204
O  0.720  0.720  0.840
O  0.577  0.577  0.270
O  0.000  0.000  0.000
O  0.280  0.280  0.160
O  0.139  0.139  0.584
O  0.861  0.861  0.416
O  0.423  0.423  0.730

# 2
The following is a PBE calculation of ErNpO2 after structural relaxation, from Alexandria.

Summary:
- Volume: 70 Å³/f.u.
- Theoretical density: 10.34 g/cm3
- Total magnetization: 4.37 μB/f.u.

Cell lengths 3.502, 3.502, 6.898 Å; angles 75.30, 75.30, 60.00 degrees
Element x y z (fractional)
Np  0.000  0.000  0.000
O  0.113  0.113  0.661
O  0.887  0.887  0.339
Er  0.500  0.500  0.500

# 3
The following is a PBE calculation of Er2NpO6 after structural relaxation, from Alexandria.

Summary:
- Volume: 132 Å³/f.u.
- Theoretical density: 8.42 g/cm3
- Total magnetization: 1.00 μB/f.u.

Cell lengths 5.054, 5.054, 10.305 Å; angles 90.00, 90.00, 90.00 degrees
Element x y z (fractional)
Er  0.000  0.000  0.334
Er  0.500  0.500  0.834
Er  0.500  0.500  0.166
Er  0.000  0.000  0.666
Np  0.000  0.000  0.000
Np  0.500  0.500  0.500
O  0.314  0.314  0.344
O  0.686  0.686  0.344
O  0.186  0.814  0.844
O  0.814  0.186  0.844
O  0.186  0.814  0.156
O  0.814  0.186  0.156
O  0.314  0.314  0.656
O  0.686  0.686  0.656
O  0.293  0.293  0.000
O  0.707  0.707  0.000
O  0.207  0.793  0.500
O  0.793  0.207  0.500

# 4
The following is a PBE calculation of Er2NpO8 after structural relaxation, from Alexandria.

Summary:
- Volume: 154 Å³/f.u.
- Theoretical density: 7.57 g/cm3
- Total magnetization: 0.94 μB/f.u.

Cell lengths 3.880, 5.877, 8.019 Å; angles 113.84, 108.07, 69.46 degrees
Element x y z (fractional)
Er  0.718  0.235  0.644
Er  0.282  0.765  0.356
Np  0.500  0.000  0.000
O  0.528  0.661  0.842
O  0.685  0.947  0.356
O  0.834  0.517  0.518
O  0.955  0.134  0.907
O  0.166  0.483  0.482
O  0.315  0.053  0.644
O  0.472  0.339  0.158
O  0.045  0.866  0.093

# 5
The following is a PBE calculation of ErNpP2O8 after structural relaxation, from Alexandria.

Summary:
- Volume: 170 Å³/f.u.
- Theoretical density: 5.79 g/cm3
- Total magnetization: 4.00 μB/f.u.

Cell lengths 5.267, 5.267, 7.098 Å; angles 90.00, 90.00, 120.00 degrees
Element x y z (fractional)
Er  0.000  0.000  0.500
Np  0.000  0.000  0.000
P  0.667  0.333  0.207
P  0.333  0.667  0.793
O  0.333  0.667  0.009
O  0.347  0.175  0.282
O  0.825  0.172  0.282
O  0.667  0.333  0.991
O  0.175  0.828  0.718
O  0.653  0.825  0.718
O  0.172  0.347  0.718
O  0.828  0.653  0.282

# 6
The following is a PBE calculation of ErNpPb2O6 after structural relaxation, from Alexandria.

Summary:
- Volume: 156 Å³/f.u.
- Theoretical density: 9.71 g/cm3
- Total magnetization: 0.00 μB/f.u.

Cell lengths 5.972, 6.090, 8.599 Å; angles 90.00, 89.97, 90.00 degrees
Element x y z (fractional)
Er  0.500  0.000  0.000
Er  0.000  0.500  0.500
Np  0.500  0.000  0.500
Np  0.000  0.500  0.000
Pb  0.002  0.968  0.251
Pb  0.502  0.532  0.751
Pb  0.998  0.032  0.749
Pb  0.498  0.468  0.249
O  0.293  0.694  0.042
O  0.793  0.806  0.542
O  0.707  0.306  0.958
O  0.207  0.194  0.458
O  0.307  0.709  0.455
O  0.807  0.791  0.955
O  0.693  0.291  0.545
O  0.193  0.209  0.045
O  0.909  0.526  0.246
O  0.409  0.974  0.746
O  0.091  0.474  0.754
O  0.591  0.026  0.254

# 7
The following is a PBE calculation of ErNpPb2O8 after structural relaxation, from Alexandria.

Summary:
- Volume: 184 Å³/f.u.
- Theoretical density: 8.53 g/cm3
- Total magnetization: 1.06 μB/f.u.

Cell lengths 5.170, 5.168, 6.901 Å; angles 90.00, 90.00, 90.51 degrees
Element x y z (fractional)
Er  0.000  0.000  0.500
Np  0.000  0.000  0.000
Pb  0.500  0.500  0.748
Pb  0.500  0.500  0.252
O  0.179  0.820  0.228
O  0.705  0.706  0.000
O  0.821  0.180  0.228
O  0.821  0.180  0.772
O  0.295  0.294  0.000
O  0.179  0.820  0.772
O  0.694  0.695  0.500
O  0.306  0.305  0.500

# 8
The following is a PBE calculation of Er2NpPbO8 after structural relaxation, from Alexandria.

Summary:
- Volume: 176 Å³/f.u.
- Theoretical density: 8.55 g/cm3
- Total magnetization: 1.01 μB/f.u.

Cell lengths 5.032, 5.034, 6.962 Å; angles 90.00, 90.00, 92.58 degrees
Element x y z (fractional)
Er  0.500  0.500  0.749
Er  0.500  0.500  0.251
Np  0.000  0.000  0.000
Pb  0.000  0.000  0.500
O  0.189  0.811  0.231
O  0.706  0.706  0.000
O  0.811  0.189  0.231
O  0.811  0.189  0.769
O  0.294  0.294  0.000
O  0.189  0.811  0.769
O  0.700  0.701  0.500
O  0.300  0.299  0.500

| no. | uncorrected formation energy (eV per atom) |
| --- | --- |
| 1 | -3.006 |
| 2 | -2.586 |
| 3 | -3.297 |
| 4 | -2.575 |
| 5 | -2.732 |
| 6 | -2.370 |
| 7 | -2.075 |
| 8 | -2.643 |